A plane-wave DFT calculation with GGA-PBE was carried out for a relaxed SbPb2Se crystal.

Results
Total magnetization   0.0 μB per formula unit
Final energy   -3.93 eV/atom
Energy above the most stable polymorph in this dataset   0.0359 eV per atom
Formation energy without anion corrections   -0.173 eV/atom

a b c (Å): 4.4873 4.2932 12.9271
angles (deg): 90.00 90.00 90.00
Closest atoms and distances in Å follow each position.
Sites, in units of the cell vectors:
Sb  0.0000  0.0000  0.0000  5 Pb 3.14-3.27
Sb  0.0000  0.5000  0.5000  5 Pb 3.14-3.27
Pb  0.0000  0.0000  0.7474  4 Se 3.11, 1 Sb 3.27
Pb  0.0000  0.5000  0.2474  4 Se 3.11, 1 Sb 3.27
Pb  0.5000  0.0000  0.4619  1 Se 2.82, 4 Sb 3.14
Pb  0.5000  0.5000  0.9619  1 Se 2.82, 4 Sb 3.14
Se  0.5000  0.0000  0.2439  5 Pb 2.82-3.11
Se  0.5000  0.5000  0.7439  5 Pb 2.82-3.11